1.
This record from Alexandria via LeMat-Bulk describes a relaxed AlCuNi2 crystal. The functional is PBE-GGA.

The structure belongs to space group Pmma (No. 51); the cell edges are 4.9920, 4.0843 and 4.8180 Å and the angles 90.00°, 90.00° and 90.00°. Symmetry generates all atoms from Al at (0.2500, 0.0000, 0.0474), Cu at (0.2500, 0.5000, 0.3181), Ni at (0.0000, 0.0000, 0.5000) and Ni at (0.2500, 0.5000, 0.8009).

The calculation puts the magnetization at 0.000 μB/atom. The calculation puts the calculated total energy at -39.39 eV per cell. Its formation enthalpy at 0 K is -7.1 kJ per mole of atoms. Its mass density is 7.0 Mg/m³.

2.
This record from Alexandria via LeMat-Bulk describes a relaxed AlCu4Ni2 crystal. The functional is PBE-GGA.

The structure belongs to space group P2_1/m (No. 11); the cell edges are 6.1022, 3.8871 and 7.5615 Å and the angles 90.00°, 92.83° and 90.00°. Symmetry generates all atoms from Al at (0.2429, 0.2500, 0.1589), Cu at (0.0370, 0.7500, 0.6000), Cu at (0.0948, 0.2500, 0.7842), Cu at (0.3566, 0.2500, 0.5406), Cu at (0.4673, 0.2500, 0.8870), Ni at (0.1579, 0.7500, 0.9723) and Ni at (0.2663, 0.7500, 0.3456).

The calculation puts the magnetization at 0.000 μB/atom. The calculation puts the calculated total energy at -63.48 eV per cell. Its formation enthalpy at 0 K is -0.7 kJ per mole of atoms. Its mass density is 7.4 Mg/m³.